RbThCr2O8 (PBE+U, relaxed); calculated total energy = -86.791 eV per cell; Fermi-level density of states = 6.177 states/eV/f.u.; M_tot = 1.00 Bohr magnetons per cell; V = 20.64 Å³ per atom
1.0
5.914 0.000 0.000
-2.957 5.122 0.000
0.000 0.000 8.176
O Th Cr Rb
8 1 2 1
direct
0.821 0.172 0.326
0.352 0.179 0.326
0.172 0.352 0.674
0.333 0.667 0.945
0.179 0.828 0.674
0.667 0.333 0.055
0.648 0.821 0.674
0.828 0.648 0.326
0.000 0.000 0.500
0.667 0.333 0.254
0.333 0.667 0.746
0.000 0.000 0.000